First-principles (GGA+U) data for LiNiF3 after structural relaxation, as listed in the Alexandria database.

Unit cell a=5.543 b=5.543 c=5.543 alpha=55.26 beta=55.26 gamma=55.26
Positions (direct):
Li1 0.203 0.203 0.203
Li2 0.797 0.797 0.797
Ni1 0.000 0.000 0.000
Ni2 0.500 0.500 0.500
F1 0.106 0.772 0.391
F2 0.228 0.609 0.894
F3 0.391 0.106 0.772
F4 0.609 0.894 0.228
F5 0.772 0.391 0.106
F6 0.894 0.228 0.609

Computed properties:
* theoretical density: 3800 kg/m³
* total DFT energy (no corrections): -4.494 eV per atom
* size of the total moment: 4.00 μB per cell